[1]
A relaxed SrGa12Pt4 crystal. Source: the Alexandria database, functional PBE-GGA.

Unit cell a=7.714 b=7.714 c=7.714 alpha=109.47 beta=109.47 gamma=109.47
Fractional coordinates of all 17 atoms:
Sr (0.000, 0.000, 0.000)
Ga (0.158, 0.350, 0.508)
Ga (0.158, 0.650, 0.808)
Ga (0.192, 0.842, 0.350)
Ga (0.350, 0.192, 0.842)
Ga (0.350, 0.508, 0.158)
Ga (0.492, 0.842, 0.650)
Ga (0.508, 0.158, 0.350)
Ga (0.650, 0.492, 0.842)
Ga (0.650, 0.808, 0.158)
Ga (0.808, 0.158, 0.650)
Ga (0.842, 0.350, 0.192)
Ga (0.842, 0.650, 0.492)
Pt (0.000, 0.000, 0.500)
Pt (0.000, 0.500, 0.000)
Pt (0.500, 0.000, 0.000)
Pt (0.500, 0.500, 0.500)

Values from the calculation:
As for the space-group type: No. 204. Its calculated volume is 353.4 Å³/cell. The total magnetization comes out at 0.00 μB per formula unit. For the formation energy, the calculation gives -0.355 eV/atom. The calculation puts the density of states at the Fermi level at 10.36 states/eV/f.u.

***

[2]
A relaxed LaRu crystal. Source: the Alexandria database, functional PBE-GGA.

Unit cell a=4.115 b=4.349 c=6.005 alpha=69.68 beta=84.10 gamma=78.86
Fractional coordinates of all 4 atoms:
La (0.230, 0.155, 0.218)
La (0.770, 0.845, 0.782)
Ru (0.240, 0.481, 0.633)
Ru (0.760, 0.519, 0.367)

Values from the calculation:
As for the space-group type: No. 2. Its calculated volume is 98.8 Å³/cell. The total magnetization comes out at 0.00 μB per formula unit. For the formation energy, the calculation gives -0.109 eV/atom. The calculation puts the density of states at the Fermi level at 2.16 states/eV/f.u.

***

[3]
A relaxed CsUCl4O3 crystal. Source: the Alexandria database, functional PBE-GGA.

Unit cell a=6.684 b=11.289 c=7.247 alpha=90.00 beta=90.12 gamma=90.00
Fractional coordinates of all 18 atoms:
Cs (0.022, 0.250, 0.140)
Cs (0.978, 0.750, 0.860)
U (0.483, 0.750, 0.366)
U (0.517, 0.250, 0.634)
Cl (0.258, 0.582, 0.533)
Cl (0.258, 0.918, 0.533)
Cl (0.441, 0.522, 0.869)
Cl (0.441, 0.978, 0.869)
Cl (0.559, 0.022, 0.131)
Cl (0.559, 0.478, 0.131)
Cl (0.742, 0.082, 0.467)
Cl (0.742, 0.418, 0.467)
O (0.288, 0.250, 0.796)
O (0.299, 0.750, 0.179)
O (0.356, 0.250, 0.430)
O (0.644, 0.750, 0.570)
O (0.701, 0.250, 0.821)
O (0.712, 0.750, 0.204)

Values from the calculation:
As for the space-group type: No. 11. Its calculated volume is 546.8 Å³/cell. The total magnetization comes out at 1.07 μB per formula unit. The raw formation energy comes out at -1.600 eV per atom. The calculation puts the density of states at the Fermi level at 4.57 states/eV/f.u.

***

[4]
A relaxed LiDy2Al2Pd5 crystal. Source: the Alexandria database, functional PBE-GGA.

Unit cell a=10.262 b=10.262 c=3.374 alpha=90.00 beta=90.00 gamma=90.00
Fractional coordinates of all 20 atoms:
Li (0.000, 0.000, 0.000)
Li (0.500, 0.500, 0.000)
Dy (0.173, 0.327, 0.000)
Dy (0.327, 0.827, 0.000)
Dy (0.673, 0.173, 0.000)
Dy (0.827, 0.673, 0.000)
Al (0.128, 0.628, 0.000)
Al (0.372, 0.128, 0.000)
Al (0.628, 0.872, 0.000)
Al (0.872, 0.372, 0.000)
Pd (0.000, 0.500, 0.500)
Pd (0.060, 0.799, 0.500)
Pd (0.201, 0.060, 0.500)
Pd (0.299, 0.560, 0.500)
Pd (0.440, 0.299, 0.500)
Pd (0.500, 0.000, 0.500)
Pd (0.560, 0.701, 0.500)
Pd (0.701, 0.440, 0.500)
Pd (0.799, 0.940, 0.500)
Pd (0.940, 0.201, 0.500)

Values from the calculation:
As for the space-group type: No. 127. Its calculated volume is 355.3 Å³/cell. The total magnetization comes out at 0.00 μB per formula unit. For the formation energy, the calculation gives -0.719 eV/atom. The calculation puts the density of states at the Fermi level at 6.69 states/eV/f.u.

***

[5]
A relaxed BaCd2Hg crystal. Source: the Alexandria database, functional PBE-GGA.

Unit cell a=4.053 b=4.053 c=7.472 alpha=90.00 beta=90.00 gamma=90.00
Fractional coordinates of all 4 atoms:
Ba (0.000, 0.000, 0.000)
Cd (0.000, 0.000, 0.497)
Cd (0.500, 0.500, 0.307)
Hg (0.500, 0.500, 0.718)

Values from the calculation:
As for the space-group type: No. 99. Its calculated volume is 122.7 Å³/cell. The total magnetization comes out at 0.00 μB per formula unit. For the formation energy, the calculation gives -0.235 eV/atom. The calculation puts the density of states at the Fermi level at 2.51 states/eV/f.u.

***

[6]
A relaxed TbLuSb crystal. Source: the Alexandria database, functional PBE-GGA.

Unit cell a=3.927 b=3.927 c=10.690 alpha=90.00 beta=90.00 gamma=90.00
Fractional coordinates of all 6 atoms:
Tb (0.000, 0.000, 0.000)
Tb (0.500, 0.500, 0.500)
Lu (0.000, 0.000, 0.308)
Lu (0.500, 0.500, 0.808)
Sb (0.000, 0.000, 0.661)
Sb (0.500, 0.500, 0.161)

Values from the calculation:
As for the space-group type: No. 107. Its calculated volume is 164.9 Å³/cell. The total magnetization comes out at 1.00 μB per formula unit. The raw formation energy comes out at -0.603 eV per atom. The calculation puts the density of states at the Fermi level at 1.85 states/eV/f.u.

***

[7]
A relaxed BaThFeN3 crystal. Source: the Alexandria database, functional PBE-GGA.

Unit cell a=7.761 b=3.627 c=7.995 alpha=90.00 beta=101.35 gamma=90.00
Fractional coordinates of all 12 atoms:
Ba (0.201, 0.250, 0.178)
Ba (0.799, 0.750, 0.822)
Th (0.174, 0.250, 0.644)
Th (0.826, 0.750, 0.356)
Fe (0.409, 0.750, 0.929)
Fe (0.591, 0.250, 0.071)
N (0.135, 0.750, 0.436)
N (0.168, 0.750, 0.856)
N (0.465, 0.250, 0.855)
N (0.535, 0.750, 0.145)
N (0.832, 0.250, 0.144)
N (0.865, 0.250, 0.564)

Values from the calculation:
As for the space-group type: No. 11. Its calculated volume is 220.7 Å³/cell. The total magnetization comes out at 0.98 μB per formula unit. The raw formation energy comes out at -0.833 eV per atom. The calculation puts the density of states at the Fermi level at 2.14 states/eV/f.u.

***

[8]
A relaxed Zr11Sc crystal. Source: the Alexandria database, functional PBE-GGA.

Unit cell a=10.133 b=10.133 c=3.148 alpha=90.00 beta=90.00 gamma=120.00
Fractional coordinates of all 12 atoms:
Zr (0.000, 0.500, 0.000)
Zr (0.172, 0.343, 0.500)
Zr (0.172, 0.828, 0.500)
Zr (0.333, 0.667, 0.000)
Zr (0.343, 0.172, 0.500)
Zr (0.500, 0.000, 0.000)
Zr (0.500, 0.500, 0.000)
Zr (0.657, 0.828, 0.500)
Zr (0.667, 0.333, 0.000)
Zr (0.828, 0.172, 0.500)
Zr (0.828, 0.657, 0.500)
Sc (0.000, 0.000, 0.000)

Values from the calculation:
As for the space-group type: No. 191. Its calculated volume is 279.9 Å³/cell. The total magnetization comes out at 0.00 μB per formula unit. For the formation energy, the calculation gives 0.033 eV/atom. The calculation puts the density of states at the Fermi level at 13.42 states/eV/f.u.